Record 1
The following is a PBE+U calculation of a geometry-optimized Rb2DyVF6 structure, from Alexandria via LeMat-Bulk.

## Properties
Total energy: -54.9 eV/f.u.
Crystal system: orthorhombic

Lattice parameters (Å, degrees): 6.916 6.916 6.916 127.75 127.53 77.21
Atoms (fractional coordinates):
Rb: 0.248 0.248 0.000
Rb: 0.752 0.752 0.000
Dy: 0.500 0.000 0.500
V: 0.000 0.500 0.500
F: 0.247 0.253 0.500
F: 0.247 0.747 0.994
F: 0.299 0.799 0.500
F: 0.701 0.201 0.500
F: 0.753 0.253 0.006
F: 0.753 0.747 0.500

Record 2
The following is a PBE+U calculation of a geometry-optimized RbDyVF6 structure, from Alexandria via LeMat-Bulk.

## Properties
Total energy: -54.2 eV/f.u.
Crystal system: orthorhombic

Lattice parameters (Å, degrees): 7.981 7.981 7.981 121.29 118.17 90.49
Atoms (fractional coordinates):
Rb: 0.305 0.055 0.250
Rb: 0.695 0.945 0.750
Dy: 0.000 0.500 0.500
Dy: 0.500 0.500 0.000
V: 0.000 0.000 0.500
V: 0.000 0.500 0.000
F: 0.051 0.409 0.224
F: 0.051 0.827 0.642
F: 0.062 0.812 0.250
F: 0.315 0.173 0.724
F: 0.315 0.591 0.142
F: 0.324 0.574 0.750
F: 0.676 0.426 0.250
F: 0.685 0.409 0.858
F: 0.685 0.827 0.276
F: 0.938 0.188 0.750
F: 0.949 0.173 0.358
F: 0.949 0.591 0.776

What is the total energy in the first record?
-54.9 eV/f.u.

Copy entry 2 word for word.
The following is a PBE+U calculation of a geometry-optimized RbDyVF6 structure, from Alexandria via LeMat-Bulk.

## Properties
Total energy: -54.2 eV/f.u.
Crystal system: orthorhombic

Lattice parameters (Å, degrees): 7.981 7.981 7.981 121.29 118.17 90.49
Atoms (fractional coordinates):
Rb: 0.305 0.055 0.250
Rb: 0.695 0.945 0.750
Dy: 0.000 0.500 0.500
Dy: 0.500 0.500 0.000
V: 0.000 0.000 0.500
V: 0.000 0.500 0.000
F: 0.051 0.409 0.224
F: 0.051 0.827 0.642
F: 0.062 0.812 0.250
F: 0.315 0.173 0.724
F: 0.315 0.591 0.142
F: 0.324 0.574 0.750
F: 0.676 0.426 0.250
F: 0.685 0.409 0.858
F: 0.685 0.827 0.276
F: 0.938 0.188 0.750
F: 0.949 0.173 0.358
F: 0.949 0.591 0.776

Among the records above, which one has the highest total energy?
RbDyVF6

Which value of total energy does entry 1 give?
-54.9 eV/f.u.